VASP calculation (PBE) on an optimized crystal structure of Er3Cd2C.

Magnetic moment = 0.00 μB per formula unit
Total energy = -4.46 eV/atom

```
Er3Cd2C
1.0
2.495 -7.834 0.000
2.495 7.834 0.000
0.000 0.000 3.466
Er Cd C
3 2 1
direct
0.000 0.000 0.000
0.390 0.610 0.500
0.610 0.390 0.500
0.201 0.799 0.000
0.799 0.201 0.000
0.500 0.500 0.000
```